First-principles (GGA-PBE) data for Dy3YNi after structural relaxation, as listed in Alexandria via LeMat-Bulk.

Unit cell a=6.444 b=6.444 c=12.838 alpha=108.27 beta=108.27 gamma=32.83
Atoms (fractional coordinates):
Dy 0.000 0.000 0.000
Dy 0.181 0.181 0.485
Dy 0.233 0.233 0.890
Dy 0.525 0.525 0.249
Dy 0.577 0.577 0.657
Dy 0.872 0.872 0.719
Y 0.756 0.756 0.139
Y 0.885 0.885 0.422
Ni 0.214 0.214 0.282
Ni 0.540 0.540 0.859

Results
Fermi-level density of states: 13.39 states/eV per cell
Formation energy from the elements: -0.167 eV/atom
Space-group type: Cm (8)
Excess energy over the best structure of this formula in the dataset: 0.0 meV/atom
Calculated volume: 27.3 Å³ per atom
Density: 7.7 g/cm³


First-principles (GGA-PBE) data for La3Tb4Ho4 after structural relaxation, as listed in Alexandria via LeMat-Bulk.

Unit cell a=12.054 b=12.054 c=12.054 alpha=162.72 beta=133.87 gamma=49.62
Atoms (fractional coordinates):
La 0.000 0.000 0.000
La 0.390 0.890 0.500
La 0.610 0.110 0.500
Tb 0.031 0.352 0.679
Tb 0.326 0.648 0.679
Tb 0.674 0.352 0.321
Tb 0.969 0.648 0.321
Ho 0.257 0.257 0.000
Ho 0.317 0.500 0.817
Ho 0.683 0.500 0.183
Ho 0.743 0.743 0.000

Results
Fermi-level density of states: 14.32 states/eV per cell
Formation energy from the elements: 0.143 eV/atom
Space-group type: Immm (71)
Excess energy over the best structure of this formula in the dataset: 0.0 meV/atom
Calculated volume: 34.0 Å³ per atom
Density: 7.6 g/cm³


First-principles (GGA-PBE) data for MgZnTc2I after structural relaxation, as listed in Alexandria via LeMat-Bulk.

Unit cell a=4.881 b=4.881 c=5.075 alpha=90.00 beta=90.00 gamma=90.00
Atoms (fractional coordinates):
Mg 0.000 0.000 0.000
Zn 0.500 0.500 0.000
Tc 0.000 0.500 0.500
Tc 0.500 0.000 0.500
I 0.500 0.500 0.500

Results
Raw formation energy: 1.6211 eV/atom
Fermi-level density of states: 5.04 states/eV per cell
Space-group type: P4/mmm (123)
Calculated volume: 24.2 Å³ per atom
Density: 5.7 g/cm³


First-principles (GGA-PBE) data for PdRuN2F after structural relaxation, as listed in Alexandria via LeMat-Bulk.

Unit cell a=3.952 b=3.952 c=4.095 alpha=90.00 beta=90.00 gamma=90.00
Atoms (fractional coordinates):
Pd 0.000 0.000 0.000
Ru 0.500 0.500 0.500
N 0.000 0.500 0.000
N 0.500 0.000 0.000
F 0.000 0.000 0.500

Results
Raw formation energy: 1.4663 eV/atom
Fermi-level density of states: 4.79 states/eV per cell
Space-group type: P4/mmm (123)
Excess energy over the best structure of this formula in the dataset: 877.7 meV/atom
Calculated volume: 12.8 Å³ per atom
Density: 6.6 g/cm³


First-principles (GGA-PBE) data for Mg2GaHgPt after structural relaxation, as listed in Alexandria via LeMat-Bulk.

Unit cell a=5.110 b=5.110 c=4.767 alpha=90.00 beta=90.00 gamma=90.00
Atoms (fractional coordinates):
Mg 0.000 0.500 0.000
Mg 0.500 0.000 0.000
Ga 0.000 0.000 0.500
Hg 0.500 0.500 0.500
Pt 0.000 0.000 0.000

Results
Fermi-level density of states: 2.07 states/eV per cell
Formation energy from the elements: -0.353 eV/atom
Space-group type: P4/mmm (123)
Calculated volume: 24.9 Å³ per atom
Density: 6.9 g/cm³


First-principles (GGA-PBE) data for Tl5InS4 after structural relaxation, as listed in Alexandria via LeMat-Bulk.

Unit cell a=9.313 b=9.313 c=8.373 alpha=106.26 beta=106.26 gamma=24.94
Atoms (fractional coordinates):
Tl 0.000 0.000 0.000
Tl 0.316 0.316 0.190
Tl 0.344 0.344 0.698
Tl 0.656 0.656 0.302
Tl 0.684 0.684 0.810
In 0.000 0.000 0.500
S 0.151 0.151 0.543
S 0.482 0.482 0.275
S 0.518 0.518 0.725
S 0.849 0.849 0.457

Results
Raw formation energy: -0.3927 eV/atom
Space-group type: C2/m (12)
Calculated volume: 29.3 Å³ per atom
Density: 7.2 g/cm³


Which of these has the lowest calculated volume?
PdRuN2F


What did the fifth record say?
First-principles (GGA-PBE) data for Mg2GaHgPt after structural relaxation, as listed in Alexandria via LeMat-Bulk.

Unit cell a=5.110 b=5.110 c=4.767 alpha=90.00 beta=90.00 gamma=90.00
Atoms (fractional coordinates):
Mg 0.000 0.500 0.000
Mg 0.500 0.000 0.000
Ga 0.000 0.000 0.500
Hg 0.500 0.500 0.500
Pt 0.000 0.000 0.000

Results
Fermi-level density of states: 2.07 states/eV per cell
Formation energy from the elements: -0.353 eV/atom
Space-group type: P4/mmm (123)
Calculated volume: 24.9 Å³ per atom
Density: 6.9 g/cm³


Which of these has the highest calculated volume?
La3Tb4Ho4


The highest density belongs to which entry?
Dy3YNi